! PBE with a Hubbard U InNi2PtO6, optimized geometry; values from VASP
&SYSTEM
  ibrav = 0, nat = 10, ntyp = 4
/
ATOMIC_SPECIES
In 114.82 In.upf
Ni 58.69 Ni.upf
Pt 195.08 Pt.upf
O 16.00 O.upf
CELL_PARAMETERS angstrom
4.036 0.000 0.000
0.000 5.859 0.000
0.000 0.000 5.859
ATOMIC_POSITIONS angstrom
In 2.560 0.000 0.000
Ni 3.431 2.929 0.000
Ni 3.431 0.000 2.929
Pt 2.882 2.929 2.929
O 3.052 1.518 1.518
O 3.052 1.518 4.341
O 0.916 2.929 2.929
O 0.592 0.000 0.000
O 3.052 4.341 4.341
O 3.052 4.341 1.518
! * energy: -48.18 eV per formula unit
! * space-group type: P4mm